[1]
Material: IrClO2
Method: DFT, PBEsol
State: optimized geometry

Calculated values
Symmetry: R-3m
ΔE_f (raw): 216 meV per atom
Total moment: 0.00 μB per cell
Crystal system: trigonal
Calculated total energy: -5.3661 eV/atom

Cell lengths 2.8665, 2.8665, 9.5922 Å; angles 81.41, 81.41, 60.00 degrees
Atoms (fractional coordinates):
Cl: 0.5000 0.5000 0.5000
O: 0.0609 0.0609 0.8172
Ir: 0.0000 0.0000 0.0000
O: 0.9391 0.9391 0.1828

[2]
Material: MnCu
Method: DFT, PBEsol
State: optimized geometry

Calculated values
Symmetry: P6_3/mmc
Total moment: 7.84 μB per cell
Energy of formation from the pure elements: 141 kJ/mol of formula units
Crystal system: hexagonal
Calculated total energy: -6.3145 eV/atom

Cell lengths 3.7608, 3.7608, 4.7331 Å; angles 90.00, 90.00, 120.00 degrees
Last column: magnetic moment on the atom in μB.
Atoms (fractional coordinates):
Mn: 0.6667 0.3333 0.7500  3.60
Cu: 0.0000 0.0000 0.0000  0.20
Mn: 0.3333 0.6667 0.2500  3.60
Cu: 0.0000 0.0000 0.5000  0.20

[3]
Material: CaTl2Re
Method: DFT, PBEsol
State: optimized geometry

Calculated values
Symmetry: F-43m
Total moment: 0.00 μB per cell
Energy of formation from the pure elements: 336 kJ/mol of formula units
Crystal system: cubic
Calculated total energy: -4.3111 eV/atom

Cell lengths 4.9791, 4.9791, 4.9791 Å; angles 60.00, 60.00, 60.00 degrees
Atoms (fractional coordinates):
Tl: 0.0000 0.0000 0.0000
Ca: 0.5000 0.5000 0.5000
Re: 0.2500 0.2500 0.2500
Tl: 0.7500 0.7500 0.7500